# PBE RbMgTe2N, relaxed
# **ΔE to the lowest computed polymorph**: 0.000 eV per atom
# **DOS at the Fermi energy**: 4.4 states/eV/f.u.
data_RbMgTe2N
_chemical_formula_sum 'Rb1 Mg1 Te2 N1'
_symmetry_space_group_name_H-M 'P 4/m m m'
_symmetry_Int_Tables_number 123
_symmetry_space_group_name_Hall '-P 4 2'
_cell_length_a 6.321
_cell_length_b 6.321
_cell_length_c 3.909
_cell_angle_alpha 90.00
_cell_angle_beta 90.00
_cell_angle_gamma 90.00
loop_
_atom_site_label
_atom_site_type_symbol
_atom_site_fract_x
_atom_site_fract_y
_atom_site_fract_z
Rb1 Rb 0.000 0.000 0.000
Mg1 Mg 0.500 0.500 0.500
Te1 Te 0.000 0.500 0.500
N1 N 0.500 0.500 0.000

# PBE RbMgTe2N, relaxed
# **ΔE to the lowest computed polymorph**: 1.130 eV per atom
# **DOS at the Fermi energy**: 5.6 states/eV/f.u.
data_RbMgTe2N
_chemical_formula_sum 'Rb1 Mg1 Te2 N1'
_symmetry_space_group_name_H-M 'P 4/m m m'
_symmetry_Int_Tables_number 123
_symmetry_space_group_name_Hall '-P 4 2'
_cell_length_a 6.328
_cell_length_b 6.328
_cell_length_c 5.098
_cell_angle_alpha 90.00
_cell_angle_beta 90.00
_cell_angle_gamma 90.00
loop_
_atom_site_label
_atom_site_type_symbol
_atom_site_fract_x
_atom_site_fract_y
_atom_site_fract_z
Rb1 Rb 0.000 0.000 0.000
Mg1 Mg 0.500 0.500 0.500
Te1 Te 0.000 0.500 0.000
N1 N 0.000 0.000 0.500

The following is a PBE calculation of a relaxed structure of RbMgUN3, from Alexandria.

Geometry as CIF:
```
data_RbMgUN3
_chemical_formula_sum 'Rb2 Mg2 U2 N6'
_symmetry_space_group_name_H-M 'P 1 21/m 1'
_symmetry_Int_Tables_number 11
_cell_length_a 7.209
_cell_length_b 3.613
_cell_length_c 9.320
_cell_angle_alpha 90.00
_cell_angle_beta 92.79
_cell_angle_gamma 90.00
loop_
_symmetry_equiv_pos_as_xyz
'x,y,z'
'-x,-y,-z'
'-x,y+1/2,-z'
'x,-y+1/2,z'
loop_
_atom_site_label
_atom_site_type_symbol
_atom_site_fract_x
_atom_site_fract_y
_atom_site_fract_z
Rb1 Rb 0.084 0.250 0.286
Mg1 Mg 0.413 0.250 0.910
U1 U 0.430 0.750 0.650
N1 N 0.268 0.250 0.706
N2 N 0.397 0.750 0.419
N3 N 0.455 0.250 0.136
```

# PBE RbMgZnN2, relaxed
# **DOS at the Fermi energy**: 1.9 states/eV/f.u.
data_RbMgZnN2
_chemical_formula_sum 'Rb1 Mg1 Zn1 N2'
_symmetry_space_group_name_H-M 'P 4/m m m'
_symmetry_Int_Tables_number 123
_symmetry_space_group_name_Hall '-P 4 2'
_cell_length_a 4.329
_cell_length_b 4.329
_cell_length_c 4.735
_cell_angle_alpha 90.00
_cell_angle_beta 90.00
_cell_angle_gamma 90.00
loop_
_atom_site_label
_atom_site_type_symbol
_atom_site_fract_x
_atom_site_fract_y
_atom_site_fract_z
Rb1 Rb 0.000 0.000 0.000
Mg1 Mg 0.500 0.500 0.000
Zn1 Zn 0.500 0.500 0.500
N1 N 0.000 0.500 0.500

# PBE MgReN, relaxed
# **DOS at the Fermi energy**: 1.3 states/eV/f.u.
data_MgReN
_chemical_formula_sum 'Mg2 Re2 N2'
_symmetry_space_group_name_H-M 'P 1 21/m 1'
_symmetry_Int_Tables_number 11
_cell_length_a 4.607
_cell_length_b 2.880
_cell_length_c 5.673
_cell_angle_alpha 90.00
_cell_angle_beta 93.95
_cell_angle_gamma 90.00
loop_
_symmetry_equiv_pos_as_xyz
'x,y,z'
'-x,-y,-z'
'-x,y+1/2,-z'
'x,-y+1/2,z'
loop_
_atom_site_label
_atom_site_type_symbol
_atom_site_fract_x
_atom_site_fract_y
_atom_site_fract_z
Mg1 Mg 0.243 0.250 0.403
Re1 Re 0.264 0.750 0.932
N1 N 0.479 0.250 0.741

# PBE Mg3ReN, relaxed
# **ΔE to the lowest computed polymorph**: 1.589 eV per atom
# **DOS at the Fermi energy**: 6.8 states/eV/f.u.
data_Mg3ReN
_chemical_formula_sum 'Mg3 Re1 N1'
_symmetry_space_group_name_H-M 'P m -3 m'
_symmetry_Int_Tables_number 221
_symmetry_space_group_name_Hall '-P 4 2 3'
_cell_length_a 5.168
_cell_length_b 5.168
_cell_length_c 5.168
_cell_angle_alpha 90.00
_cell_angle_beta 90.00
_cell_angle_gamma 90.00
loop_
_atom_site_label
_atom_site_type_symbol
_atom_site_fract_x
_atom_site_fract_y
_atom_site_fract_z
Mg1 Mg 0.000 0.000 0.500
Re1 Re 0.000 0.000 0.000
N1 N 0.500 0.500 0.500

# PBE Mg3ReN, relaxed
# **ΔE to the lowest computed polymorph**: 0.000 eV per atom
# **DOS at the Fermi energy**: 4.3 states/eV/f.u.
data_Mg3ReN
_chemical_formula_sum 'Mg3 Re1 N1'
_symmetry_space_group_name_H-M 'P m -3 m'
_symmetry_Int_Tables_number 221
_symmetry_space_group_name_Hall '-P 4 2 3'
_cell_length_a 4.256
_cell_length_b 4.256
_cell_length_c 4.256
_cell_angle_alpha 90.00
_cell_angle_beta 90.00
_cell_angle_gamma 90.00
loop_
_atom_site_label
_atom_site_type_symbol
_atom_site_fract_x
_atom_site_fract_y
_atom_site_fract_z
Mg1 Mg 0.000 0.000 0.500
Re1 Re 0.500 0.500 0.500
N1 N 0.000 0.000 0.000

# PBE MgRe2N, relaxed
# **ΔE to the lowest computed polymorph**: 0.825 eV per atom
# **DOS at the Fermi energy**: 5.1 states/eV/f.u.
data_MgRe2N
_chemical_formula_sum 'Mg4 Re8 N4'
_symmetry_space_group_name_H-M 'F m -3 m'
_symmetry_Int_Tables_number 225
_symmetry_space_group_name_Hall '-F 4 2 3'
_cell_length_a 5.965
_cell_length_b 5.965
_cell_length_c 5.965
_cell_angle_alpha 90.00
_cell_angle_beta 90.00
_cell_angle_gamma 90.00
loop_
_atom_site_label
_atom_site_type_symbol
_atom_site_fract_x
_atom_site_fract_y
_atom_site_fract_z
Mg1 Mg 0.000 0.000 0.000
Re1 Re 0.250 0.250 0.250
N1 N 0.000 0.000 0.500

# PBE MgRe2N, relaxed
# **ΔE to the lowest computed polymorph**: 0.000 eV per atom
# **DOS at the Fermi energy**: 4.0 states/eV/f.u.
data_MgRe2N
_chemical_formula_sum 'Mg4 Re8 N4'
_symmetry_space_group_name_H-M 'I -4 2 d'
_symmetry_Int_Tables_number 122
_symmetry_space_group_name_Hall 'I -4 2bw'
_cell_length_a 5.088
_cell_length_b 5.088
_cell_length_c 11.396
_cell_angle_alpha 90.00
_cell_angle_beta 90.00
_cell_angle_gamma 90.00
loop_
_atom_site_label
_atom_site_type_symbol
_atom_site_fract_x
_atom_site_fract_y
_atom_site_fract_z
Mg1 Mg 0.000 0.000 0.000
Re1 Re 0.070 0.250 0.625
N1 N 0.000 0.000 0.500

# PBE Mg2ReN4, relaxed
# **DOS at the Fermi energy**: 3.1 states/eV/f.u.
data_Mg2ReN4
_chemical_formula_sum 'Mg8 Re4 N16'
_symmetry_space_group_name_H-M 'P n m a'
_symmetry_Int_Tables_number 62
_cell_length_a 10.895
_cell_length_b 6.457
_cell_length_c 5.160
_cell_angle_alpha 90.00
_cell_angle_beta 90.00
_cell_angle_gamma 90.00
loop_
_symmetry_equiv_pos_as_xyz
'x,y,z'
'-x,-y,-z'
'-x+1/2,-y,z+1/2'
'x+1/2,y,-z+1/2'
'x+1/2,-y+1/2,-z+1/2'
'-x+1/2,y+1/2,z+1/2'
'-x,y+1/2,-z'
'x,-y+1/2,z'
loop_
_atom_site_label
_atom_site_type_symbol
_atom_site_fract_x
_atom_site_fract_y
_atom_site_fract_z
Mg1 Mg 0.000 0.000 0.000
Mg2 Mg 0.230 0.250 0.487
Re1 Re 0.091 0.750 0.439
N1 N 0.063 0.250 0.712
N2 N 0.089 0.750 0.793
N3 N 0.164 0.524 0.293

# PBE MgRe3N, relaxed
# **ΔE to the lowest computed polymorph**: 0.000 eV per atom
# **DOS at the Fermi energy**: 4.7 states/eV/f.u.
data_MgRe3N
_chemical_formula_sum 'Mg1 Re3 N1'
_symmetry_space_group_name_H-M 'P m -3 m'
_symmetry_Int_Tables_number 221
_symmetry_space_group_name_Hall '-P 4 2 3'
_cell_length_a 4.101
_cell_length_b 4.101
_cell_length_c 4.101
_cell_angle_alpha 90.00
_cell_angle_beta 90.00
_cell_angle_gamma 90.00
loop_
_atom_site_label
_atom_site_type_symbol
_atom_site_fract_x
_atom_site_fract_y
_atom_site_fract_z
Mg1 Mg 0.000 0.000 0.000
Re1 Re 0.000 0.500 0.500
N1 N 0.500 0.500 0.500

# PBE Mg2ReN3, relaxed
# **DOS at the Fermi energy**: 0.2 states/eV/f.u.
data_Mg2ReN3
_chemical_formula_sum 'Mg4 Re2 N6'
_symmetry_space_group_name_H-M 'I m m 2'
_symmetry_Int_Tables_number 44
_cell_length_a 3.143
_cell_length_b 10.095
_cell_length_c 4.880
_cell_angle_alpha 90.00
_cell_angle_beta 90.00
_cell_angle_gamma 90.00
loop_
_symmetry_equiv_pos_as_xyz
'x,y,z'
'-x,-y,z'
'-x,y,z'
'x,-y,z'
'x+1/2,y+1/2,z+1/2'
'-x+1/2,-y+1/2,z+1/2'
'-x+1/2,y+1/2,z+1/2'
'x+1/2,-y+1/2,z+1/2'
loop_
_atom_site_label
_atom_site_type_symbol
_atom_site_fract_x
_atom_site_fract_y
_atom_site_fract_z
Mg1 Mg 0.000 0.161 0.000
Re1 Re 0.000 0.500 0.960
N1 N 0.000 0.000 0.728
N2 N 0.000 0.339 0.781

# PBE MgRe3N, relaxed
# **ΔE to the lowest computed polymorph**: 3.506 eV per atom
# **DOS at the Fermi energy**: 8.0 states/eV/f.u.
data_MgRe3N
_chemical_formula_sum 'Mg1 Re3 N1'
_symmetry_space_group_name_H-M 'P m -3 m'
_symmetry_Int_Tables_number 221
_symmetry_space_group_name_Hall '-P 4 2 3'
_cell_length_a 4.474
_cell_length_b 4.474
_cell_length_c 4.474
_cell_angle_alpha 90.00
_cell_angle_beta 90.00
_cell_angle_gamma 90.00
loop_
_atom_site_label
_atom_site_type_symbol
_atom_site_fract_x
_atom_site_fract_y
_atom_site_fract_z
Mg1 Mg 0.000 0.000 0.000
Re1 Re 0.000 0.000 0.500
N1 N 0.500 0.500 0.500

# PBE MgReS2N, relaxed
# **ΔE to the lowest computed polymorph**: 1.424 eV per atom
# **DOS at the Fermi energy**: 2.3 states/eV/f.u.
data_MgReS2N
_chemical_formula_sum 'Mg1 Re1 S2 N1'
_symmetry_space_group_name_H-M 'P 4/m m m'
_symmetry_Int_Tables_number 123
_symmetry_space_group_name_Hall '-P 4 2'
_cell_length_a 4.755
_cell_length_b 4.755
_cell_length_c 3.862
_cell_angle_alpha 90.00
_cell_angle_beta 90.00
_cell_angle_gamma 90.00
loop_
_atom_site_label
_atom_site_type_symbol
_atom_site_fract_x
_atom_site_fract_y
_atom_site_fract_z
Mg1 Mg 0.000 0.000 0.000
Re1 Re 0.500 0.500 0.500
S1 S 0.000 0.500 0.000
N1 N 0.000 0.000 0.500

# PBE MgReS2N, relaxed
# **ΔE to the lowest computed polymorph**: 0.000 eV per atom
# **DOS at the Fermi energy**: 2.7 states/eV/f.u.
data_MgReS2N
_chemical_formula_sum 'Mg1 Re1 S2 N1'
_symmetry_space_group_name_H-M 'P 4/m m m'
_symmetry_Int_Tables_number 123
_symmetry_space_group_name_Hall '-P 4 2'
_cell_length_a 4.834
_cell_length_b 4.834
_cell_length_c 3.740
_cell_angle_alpha 90.00
_cell_angle_beta 90.00
_cell_angle_gamma 90.00
loop_
_atom_site_label
_atom_site_type_symbol
_atom_site_fract_x
_atom_site_fract_y
_atom_site_fract_z
Mg1 Mg 0.000 0.000 0.000
Re1 Re 0.500 0.500 0.500
S1 S 0.000 0.500 0.500
N1 N 0.500 0.500 0.000

# PBE MgReS2N, relaxed
# **ΔE to the lowest computed polymorph**: 1.021 eV per atom
# **DOS at the Fermi energy**: 3.3 states/eV/f.u.
data_MgReS2N
_chemical_formula_sum 'Mg1 Re1 S2 N1'
_symmetry_space_group_name_H-M 'P 4/m m m'
_symmetry_Int_Tables_number 123
_symmetry_space_group_name_Hall '-P 4 2'
_cell_length_a 4.272
_cell_length_b 4.272
_cell_length_c 3.717
_cell_angle_alpha 90.00
_cell_angle_beta 90.00
_cell_angle_gamma 90.00
loop_
_atom_site_label
_atom_site_type_symbol
_atom_site_fract_x
_atom_site_fract_y
_atom_site_fract_z
Mg1 Mg 0.000 0.000 0.000
Re1 Re 0.500 0.500 0.000
S1 S 0.000 0.500 0.500
N1 N 0.000 0.000 0.500

# PBE MgReSe2N, relaxed
# **ΔE to the lowest computed polymorph**: 0.000 eV per atom
# **DOS at the Fermi energy**: 2.7 states/eV/f.u.
data_MgReSe2N
_chemical_formula_sum 'Mg1 Re1 Se2 N1'
_symmetry_space_group_name_H-M 'P 4/m m m'
_symmetry_Int_Tables_number 123
_symmetry_space_group_name_Hall '-P 4 2'
_cell_length_a 5.111
_cell_length_b 5.111
_cell_length_c 3.739
_cell_angle_alpha 90.00
_cell_angle_beta 90.00
_cell_angle_gamma 90.00
loop_
_atom_site_label
_atom_site_type_symbol
_atom_site_fract_x
_atom_site_fract_y
_atom_site_fract_z
Mg1 Mg 0.000 0.000 0.000
Re1 Re 0.500 0.500 0.500
Se1 Se 0.000 0.500 0.500
N1 N 0.500 0.500 0.000

# PBE MgReSe2N, relaxed
# **ΔE to the lowest computed polymorph**: 1.331 eV per atom
# **DOS at the Fermi energy**: 2.7 states/eV/f.u.
data_MgReSe2N
_chemical_formula_sum 'Mg1 Re1 Se2 N1'
_symmetry_space_group_name_H-M 'P 4/m m m'
_symmetry_Int_Tables_number 123
_symmetry_space_group_name_Hall '-P 4 2'
_cell_length_a 5.034
_cell_length_b 5.034
_cell_length_c 3.859
_cell_angle_alpha 90.00
_cell_angle_beta 90.00
_cell_angle_gamma 90.00
loop_
_atom_site_label
_atom_site_type_symbol
_atom_site_fract_x
_atom_site_fract_y
_atom_site_fract_z
Mg1 Mg 0.000 0.000 0.000
Re1 Re 0.500 0.500 0.500
Se1 Se 0.000 0.500 0.000
N1 N 0.000 0.000 0.500

# PBE SrMg2ReN4, relaxed
# **DOS at the Fermi energy**: 2.7 states/eV/f.u.
data_SrMg2ReN4
_chemical_formula_sum 'Sr2 Mg4 Re2 N8'
_symmetry_space_group_name_H-M 'P m n 21'
_symmetry_Int_Tables_number 31
_cell_length_a 7.437
_cell_length_b 5.825
_cell_length_c 5.578
_cell_angle_alpha 90.00
_cell_angle_beta 90.00
_cell_angle_gamma 90.00
loop_
_symmetry_equiv_pos_as_xyz
'x,y,z'
'-x+1/2,-y,z+1/2'
'-x,y,z'
'x+1/2,-y,z+1/2'
loop_
_atom_site_label
_atom_site_type_symbol
_atom_site_fract_x
_atom_site_fract_y
_atom_site_fract_z
Sr1 Sr 0.000 0.176 0.000
Mg1 Mg 0.246 0.329 0.514
Re1 Re 0.000 0.805 0.523
N1 N 0.000 0.128 0.475
N2 N 0.000 0.760 0.856
N3 N 0.200 0.663 0.385

The following is a PBE calculation of a relaxed structure of Sr3MgRe2N6, from Alexandria.

Geometry as CIF:
```
data_Sr3MgRe2N6
_chemical_formula_sum 'Sr3 Mg1 Re2 N6'
_symmetry_space_group_name_H-M 'P -3 m 1'
_symmetry_Int_Tables_number 164
_symmetry_space_group_name_Hall '-P 3 2"'
_cell_length_a 6.0261
_cell_length_b 6.0261
_cell_length_c 6.7569
_cell_angle_alpha 90.00
_cell_angle_beta 90.00
_cell_angle_gamma 120.00
loop_
_atom_site_label
_atom_site_type_symbol
_atom_site_fract_x
_atom_site_fract_y
_atom_site_fract_z
Sr1 Sr 0.0000 0.0000 0.0000
Sr2 Sr 0.3333 0.6667 0.7002
Mg1 Mg 0.0000 0.0000 0.5000
Re1 Re 0.3333 0.6667 0.2312
N1 N 0.1660 0.3320 0.2941
```

no.,E_tot (eV/atom),magnetic moment (μB per formula unit)
1,-3.227,2.2
2,-2.097,2.7
3,-7.321,0.0
4,-2.811,1.4
5,-7.584,0.0
6,-3.147,3.9
7,-4.736,2.1
8,-6.923,0.0
9,-7.748,0.0
10,-7.224,1.0
11,-9.117,0.0
12,-7.203,0.0
13,-5.610,0.0
14,-4.763,1.9
15,-6.187,0.0
16,-5.166,0.3
17,-5.853,0.0
18,-4.522,1.7
19,-6.961,1.0
20,-7.479,0.0